Entry 1:
{"formula": "SrOsRh", "functional": "SCAN", "state": "PBEsol geometry", "rho_g_cm3": 9.70, "formation_enthalpy_0k_kj_per_mol_fu": 590, "crystal_system": "cubic", "sg": "F-43m, No. 216", "dos_ef_per_ev_fu": 4.342, "lattice_angstrom": [[0.000, 3.194, 3.194], [3.194, 0.000, 3.194], [3.194, 3.194, 0.000]], "species": ["Sr", "Os", "Rh"], "fractional_positions": [[0.000, 0.000, 0.000], [0.250, 0.250, 0.250], [0.750, 0.750, 0.750]]}


Entry 2:
{"formula": "BeCdIn3", "functional": "SCAN", "state": "PBEsol geometry", "rho_g_cm3": 6.61, "formation_enthalpy_0k_kj_per_mol_fu": 142, "crystal_system": "cubic", "sg": "Pm-3m, No. 221", "dos_ef_per_ev_fu": 1.550, "lattice_angstrom": [[4.892, 0.000, 0.000], [0.000, 4.892, 0.000], [0.000, 0.000, 4.892]], "species": ["Be", "Cd", "In", "In", "In"], "fractional_positions": [[0.000, 0.000, 0.000], [0.500, 0.500, 0.500], [0.000, 0.000, 0.500], [0.000, 0.500, 0.000], [0.500, 0.000, 0.000]]}


Entry 3:
{"formula": "RuAuSN2", "functional": "SCAN", "state": "PBEsol geometry", "dft_energy_ev_per_atom": -24.4859, "rho_g_cm3": 6.70, "crystal_system": "tetragonal", "sg": "P4/mmm, No. 123", "dos_ef_per_ev_fu": 2.224, "lattice_angstrom": [[3.667, 0.000, 0.000], [0.000, 3.667, 0.000], [0.000, 0.000, 6.598]], "species": ["Ru", "Au", "S", "N", "N"], "fractional_positions": [[0.000, 0.000, 0.000], [0.500, 0.500, 0.500], [0.500, 0.500, 0.000], [0.000, 0.500, 0.500], [0.500, 0.000, 0.500]]}


Entry 4:
{"formula": "Cu5Sn4", "functional": "SCAN", "state": "PBEsol geometry", "de_polymorph_mev_per_atom": 0, "rho_g_cm3": 8.54, "formation_enthalpy_0k_kj_per_mol_fu": 9, "crystal_system": "monoclinic", "sg": "P2_1/c, No. 14", "dos_ef_per_ev_fu": 2.808, "lattice_angstrom": [[9.768, 0.000, 0.000], [0.000, 7.315, 0.000], [-4.525, 0.000, 8.627]], "species": ["Cu", "Cu", "Cu", "Cu", "Cu", "Cu", "Cu", "Cu", "Cu", "Cu", "Cu", "Cu", "Cu", "Cu", "Cu", "Cu", "Cu", "Cu", "Cu", "Cu", "Sn", "Sn", "Sn", "Sn", "Sn", "Sn", "Sn", "Sn", "Sn", "Sn", "Sn", "Sn", "Sn", "Sn", "Sn", "Sn"], "fractional_positions": [[0.058, 0.223, 0.443], [0.058, 0.277, 0.943], [0.190, 0.744, 0.313], [0.190, 0.756, 0.813], [0.191, 0.591, 0.062], [0.191, 0.909, 0.562], [0.316, 0.223, 0.684], [0.316, 0.277, 0.184], [0.430, 0.743, 0.568], [0.430, 0.757, 0.068], [0.570, 0.243, 0.932], [0.570, 0.257, 0.432], [0.684, 0.723, 0.816], [0.684, 0.777, 0.316], [0.809, 0.091, 0.438], [0.809, 0.409, 0.938], [0.810, 0.244, 0.187], [0.810, 0.256, 0.687], [0.942, 0.723, 0.057], [0.942, 0.777, 0.557], [0.071, 0.096, 0.716], [0.071, 0.404, 0.216], [0.184, 0.551, 0.565], [0.184, 0.949, 0.065], [0.324, 0.084, 0.423], [0.324, 0.416, 0.923], [0.457, 0.593, 0.331], [0.457, 0.907, 0.831], [0.543, 0.093, 0.169], [0.543, 0.407, 0.669], [0.676, 0.584, 0.077], [0.676, 0.916, 0.577], [0.816, 0.051, 0.935], [0.816, 0.449, 0.435], [0.929, 0.596, 0.784], [0.929, 0.904, 0.284]]}


Entry 5:
{"formula": "Ca2IrBrCl", "functional": "SCAN", "state": "PBEsol geometry", "dft_energy_ev_per_atom": -24.3283, "rho_g_cm3": 4.48, "crystal_system": "tetragonal", "sg": "P4/mmm, No. 123", "dos_ef_per_ev_fu": 2.327, "lattice_angstrom": [[5.403, 0.000, 0.000], [0.000, 5.403, 0.000], [0.000, 0.000, 4.925]], "species": ["Ca", "Ca", "Ir", "Br", "Cl"], "fractional_positions": [[0.000, 0.500, 0.000], [0.500, 0.000, 0.000], [0.000, 0.000, 0.000], [0.000, 0.000, 0.500], [0.500, 0.500, 0.500]]}


Entry 6:
{"formula": "ZnMoIr", "functional": "SCAN", "state": "PBEsol geometry", "de_polymorph_mev_per_atom": 287, "rho_g_cm3": 13.46, "formation_enthalpy_0k_kj_per_mol_fu": 22, "crystal_system": "orthorhombic", "sg": "Fmm2, No. 42", "dos_ef_per_ev_fu": 1.716, "lattice_angstrom": [[0.000, 2.254, 6.636], [1.459, 0.000, 6.636], [1.459, 2.254, 0.000]], "species": ["Zn", "Mo", "Ir"], "fractional_positions": [[0.000, 0.000, 0.000], [0.329, 0.329, 0.671], [0.666, 0.666, 0.334]]}